A | This record from Alexandria via LeMat-Bulk describes an optimized crystal structure of Li3Tm2Tl4. The functional is PBE.

Unit cell a=6.4310 b=7.9463 c=8.6624 alpha=90.00 beta=111.79 gamma=90.00
Last column: nearest neighbours and their distance in Å.
Fractional positions:
Tl: 0.8020 0.2500 0.1040  3 Li 2.69-2.84
Li: 0.0000 0.0000 0.0000  6 Tl 2.69-2.83
Li: 0.4784 0.2500 0.4567  5 Tl 2.82-2.91
Tl: 0.1980 0.7500 0.8960  3 Li 2.69-2.84
Tm: 0.8919 0.4168 0.7839  7 Tl 3.22-3.41, 2 Li 3.36
Tm: 0.3919 0.0832 0.7839  7 Tl 3.22-3.41, 2 Li 3.36
Li: 0.0216 0.7500 0.5433  5 Tl 2.82-2.91
Li: 0.9784 0.2500 0.4567  5 Tl 2.82-2.91
Tl: 0.6980 0.7500 0.8960  3 Li 2.69-2.84
Li: 0.5216 0.7500 0.5433  5 Tl 2.82-2.91
Tm: 0.6081 0.9168 0.2161  7 Tl 3.22-3.41, 2 Li 3.36
Tl: 0.3020 0.2500 0.1040  3 Li 2.69-2.84
Tl: 0.8252 0.0348 0.6503  5 Li 2.82-2.91
Li: 0.5000 0.5000 0.0000  6 Tl 2.69-2.83
Tl: 0.6748 0.5348 0.3497  5 Li 2.82-2.91
Tl: 0.1748 0.9652 0.3497  5 Li 2.82-2.91
Tl: 0.3252 0.4652 0.6503  5 Li 2.82-2.91
Tm: 0.1081 0.5832 0.2161  7 Tl 3.22-3.41, 2 Li 3.36

- Space group: No. 64

=====

B | This record from Alexandria via LeMat-Bulk describes an optimized crystal structure of Li3Tm2Tl4. The functional is PBE.

Unit cell a=4.9276 b=5.2373 c=9.3408 alpha=79.70 beta=90.00 gamma=61.94
Last column: nearest neighbours and their distance in Å.
Fractional positions:
Tl: 0.3592 0.2816 0.1047  3 Li 2.87-3.04, 3 Tm 3.15-3.21
Li: 0.0000 0.0000 0.0000  8 Tl 3.04-3.37
Li: 0.6210 0.7578 0.5844  1 Li 2.46
Li: 0.3790 0.2422 0.4156  1 Li 2.46
Tl: 0.0713 0.8574 0.3685  3 Li 2.79-3.12, 1 Tl 3.01
Tm: 0.2899 0.4202 0.7600  7 Tl 3.13-3.31, 3 Li 3.19-3.48
Tl: 0.6408 0.7184 0.8953  3 Li 2.87-3.04, 3 Tm 3.15-3.21
Tm: 0.7101 0.5798 0.2400  7 Tl 3.13-3.31, 3 Li 3.19-3.48
Tl: 0.9287 0.1426 0.6315  3 Li 2.79-3.12, 1 Tl 3.01

- Space group: No. 12

=====

Stability check: which of them is most stable? B.

=====

A | This record from Alexandria via LeMat-Bulk describes an optimized crystal structure of Li2TmTl5. The functional is PBE.

Unit cell a=6.4436 b=6.4437 c=6.4438 alpha=106.30 beta=106.30 gamma=116.02
Last column: nearest neighbours and their distance in Å.
Fractional positions:
Tl: 0.7776 0.7778 0.4996  4 Li 3.22, 2 Tm 3.22, 4 Tl 3.22-3.41
Tl: 0.2782 0.7776 0.0000  2 Tm 3.22, 4 Li 3.22, 4 Tl 3.22-3.41
Li: 0.7777 0.2780 0.5000  8 Tl 3.22, 2 Li 3.41
Tl: 0.2781 0.2782 0.5004  4 Li 3.22, 2 Tm 3.22, 4 Tl 3.22-3.41
Tl: 0.2776 0.2773 0.0000  8 Tl 3.22, 2 Tm 3.41-3.42
Tl: 0.7779 0.2781 0.0000  2 Tm 3.22, 4 Tl 3.22-3.41, 4 Li 3.22
Tm: 0.7783 0.7781 0.0000  10 Tl 3.22-3.42
Li: 0.2777 0.7780 0.5000  8 Tl 3.22, 2 Li 3.41

- Space group: No. 107

=====

B | This record from Alexandria via LeMat-Bulk describes an optimized crystal structure of Li2TmTl5. The functional is PBE.

Unit cell a=7.8781 b=7.8781 c=8.5140 alpha=117.56 beta=117.56 gamma=90.00
Last column: nearest neighbours and their distance in Å.
Fractional positions:
Tm: 0.7500 0.7500 0.5000  10 Tl 3.22-3.26
Li: 0.1426 0.3574 0.0000  8 Tl 3.01-3.03, 1 Li 3.18
Tl: 0.5000 0.5000 0.0000  4 Li 3.03, 2 Tm 3.22
Li: 0.8574 0.6426 0.0000  8 Tl 3.01-3.03, 1 Li 3.18
Li: 0.3574 0.8574 0.0000  8 Tl 3.01-3.03, 1 Li 3.18
Tl: 0.8004 0.9999 0.3002  3 Li 3.01, 2 Tm 3.26, 1 Tl 3.35
Tl: 0.4999 0.3004 0.3002  3 Li 3.01, 2 Tm 3.26, 1 Tl 3.35
Tl: 0.0001 0.5001 0.6998  3 Li 3.01, 2 Tm 3.26, 1 Tl 3.35
Tm: 0.2500 0.2500 0.5000  10 Tl 3.22-3.26
Tl: 0.1996 0.0001 0.6998  3 Li 3.01, 2 Tm 3.26, 1 Tl 3.35
Tl: 0.3004 0.8004 0.3002  3 Li 3.01, 2 Tm 3.26, 1 Tl 3.35
Tl: 0.6996 0.1996 0.6998  3 Li 3.01, 2 Tm 3.26, 1 Tl 3.35
Tl: 0.0000 0.0000 0.0000  4 Li 3.03, 2 Tm 3.22
Tl: 0.5001 0.6996 0.6998  3 Li 3.01, 2 Tm 3.26, 1 Tl 3.35
Tl: 0.9999 0.4999 0.3002  3 Li 3.01, 2 Tm 3.26, 1 Tl 3.35
Li: 0.6426 0.1426 0.0000  8 Tl 3.01-3.03, 1 Li 3.18

- Space group: No. 140

=====

Stability check: which of them is most stable? A.

=====

A | This record from Alexandria via LeMat-Bulk describes an optimized crystal structure of LiTmTl. The functional is PBE.

Unit cell a=4.8505 b=4.8508 c=6.8381 alpha=90.00 beta=90.00 gamma=120.00
Last column: nearest neighbours and their distance in Å.
Fractional positions:
Li: 0.6665 0.3330 0.2500  3 Tl 2.80
Li: 0.3335 0.6670 0.7500  3 Tl 2.80
Tl: 0.6668 0.3335 0.7500  3 Li 2.80
Tm: 0.0000 0.0000 0.0000  6 Tl 3.28, 6 Li 3.28, 2 Tm 3.42
Tl: 0.3332 0.6665 0.2500  3 Li 2.80
Tm: 0.0000 0.0000 0.5000  6 Tl 3.28, 6 Li 3.28, 2 Tm 3.42

- Space group: No. 194

=====

B | This record from Alexandria via LeMat-Bulk describes an optimized crystal structure of LiTmTl. The functional is PBE.

Unit cell a=3.6588 b=3.6588 c=5.9635 alpha=107.86 beta=107.86 gamma=90.00
Last column: nearest neighbours and their distance in Å.
Fractional positions:
Tm: 0.6180 0.6180 0.2360  5 Tl 3.27-3.37, 5 Li 3.30-3.33, 4 Tm 3.66
Tl: 0.3042 0.3042 0.6083  4 Li 2.91
Li: 0.9278 0.9278 0.8557  4 Tl 2.91

- Space group: No. 107

=====

C | This record from Alexandria via LeMat-Bulk describes an optimized crystal structure of LiTmTl. The functional is PBE.

Unit cell a=3.4790 b=3.4790 c=12.4745 alpha=98.02 beta=98.02 gamma=90.00
Last column: nearest neighbours and their distance in Å.
Fractional positions:
Tl: 0.8454 0.8454 0.6908  5 Li 2.92-3.09, 4 Tm 3.24
Li: 0.7189 0.7189 0.4378  4 Li 2.89, 5 Tl 2.92-3.09
Tm: 0.5685 0.5685 0.1371  4 Tl 3.24, 5 Tm 3.35-3.48
Tm: 0.4315 0.4315 0.8629  4 Tl 3.24, 5 Tm 3.35-3.48
Tl: 0.1546 0.1546 0.3092  5 Li 2.92-3.09, 4 Tm 3.24
Li: 0.2811 0.2811 0.5622  4 Li 2.89, 5 Tl 2.92-3.09

- Space group: No. 139

=====

D | This record from Alexandria via LeMat-Bulk describes an optimized crystal structure of LiTmTl. The functional is PBE.

Unit cell a=3.4160 b=4.8699 c=4.8699 alpha=120.00 beta=90.00 gamma=90.00
Last column: nearest neighbours and their distance in Å.
Fractional positions:
Tl: 0.1670 0.0000 0.0000  3 Li 2.81
Li: 0.1661 0.6667 0.3333  3 Tl 2.81
Tm: 0.6669 0.3333 0.6667  6 Li 3.29, 6 Tl 3.29, 2 Tm 3.42

- Space group: No. 187

=====

Stability check: which of them is most stable? A.

=====

A | This record from Alexandria via LeMat-Bulk describes an optimized crystal structure of Li4Tm3Tl4. The functional is PBE.

Unit cell a=4.8491 b=3.4492 c=15.4885 alpha=96.39 beta=99.01 gamma=90.00
Last column: nearest neighbours and their distance in Å.
Fractional positions:
Tm: 0.0000 0.0000 0.0000  4 Li 3.30, 8 Tl 3.36, 2 Tm 3.45
Li: 0.0925 0.5925 0.1850  3 Tl 2.73-2.76
Tm: 0.3560 0.8560 0.7120  6 Tl 3.21-3.30, 6 Li 3.36-3.38, 2 Tm 3.45
Tl: 0.1834 0.6834 0.3667  5 Li 2.76-2.97
Tm: 0.6440 0.1440 0.2880  6 Tl 3.21-3.30, 6 Li 3.36-3.38, 2 Tm 3.45
Li: 0.9075 0.4075 0.8149  3 Tl 2.73-2.76
Tl: 0.8166 0.3166 0.6333  5 Li 2.76-2.97
Tl: 0.5516 0.5516 0.1031  2 Li 2.73
Tl: 0.4484 0.4484 0.8969  2 Li 2.73
Li: 0.2603 0.2603 0.5205  4 Tl 2.91-2.97, 4 Li 3.04
Li: 0.7397 0.7397 0.4795  4 Tl 2.91-2.97, 4 Li 3.04

- Space group: No. 71

=====

B | This record from Alexandria via LeMat-Bulk describes an optimized crystal structure of Li4Tm3Tl4. The functional is PBE.

Unit cell a=4.7121 b=7.1253 c=8.5891 alpha=114.51 beta=105.92 gamma=90.00
Last column: nearest neighbours and their distance in Å.
Fractional positions:
Li: 0.6761 0.4889 0.3521  1 Li 2.67, 4 Tl 2.72-2.78
Tm: 0.8826 0.8826 0.7653  6 Tl 3.31-3.40, 6 Li 3.36, 1 Tm 3.50
Tl: 0.7819 0.2819 0.5638  6 Li 2.73-2.78
Li: 0.3239 0.1368 0.6479  1 Li 2.67, 4 Tl 2.72-2.78
Li: 0.6761 0.8632 0.3521  1 Li 2.67, 4 Tl 2.72-2.78
Li: 0.3239 0.5111 0.6479  1 Li 2.67, 4 Tl 2.72-2.78
Tm: 0.1174 0.1174 0.2347  6 Tl 3.31-3.40, 6 Li 3.36, 1 Tm 3.50
Tl: 0.5000 0.2137 0.0000  2 Li 2.72
Tl: 0.2181 0.7181 0.4362  6 Li 2.73-2.78
Tm: 0.0000 0.5000 0.0000  6 Tl 3.12-3.25
Tl: 0.5000 0.7863 0.0000  2 Li 2.72

- Space group: No. 71

=====

Stability check: which of them is most stable? A.

=====

A | This record from Alexandria via LeMat-Bulk describes an optimized crystal structure of LiTm6Tl5. The functional is PBE.

Unit cell a=5.2738 b=7.4034 c=8.4148 alpha=90.00 beta=71.74 gamma=90.00
Last column: nearest neighbours and their distance in Å.
Fractional positions:
Tm: 0.1684 0.2454 0.6632  7 Tl 3.21-3.36, 1 Li 3.25
Li: 0.0000 0.0000 0.0000  8 Tm 3.25, 4 Tl 3.61
Tm: 0.5000 0.7442 0.0000  6 Tl 3.11-3.23, 2 Li 3.25
Tl: 0.0000 0.5000 0.0000  8 Tm 3.20-3.29
Tl: 0.6672 0.5000 0.6656  8 Tm 3.23-3.24
Tl: 0.3328 0.5000 0.3344  8 Tm 3.23-3.24
Tm: 0.5000 0.2558 0.0000  6 Tl 3.11-3.23, 2 Li 3.25
Tm: 0.1684 0.7546 0.6632  7 Tl 3.21-3.36, 1 Li 3.25
Tl: 0.3454 0.0000 0.3092  8 Tm 3.11-3.36
Tm: 0.8316 0.2454 0.3368  7 Tl 3.21-3.36, 1 Li 3.25
Tm: 0.8316 0.7546 0.3368  7 Tl 3.21-3.36, 1 Li 3.25
Tl: 0.6546 0.0000 0.6908  8 Tm 3.11-3.36

- Space group: No. 65

=====

B | This record from Alexandria via LeMat-Bulk describes an optimized crystal structure of LiTm6Tl5. The functional is PBE.

Unit cell a=10.0206 b=6.2717 c=6.2669 alpha=59.97 beta=84.02 gamma=77.99
Last column: nearest neighbours and their distance in Å.
Fractional positions:
Tl: 0.0000 0.6679 0.6643  6 Tm 3.22-3.23, 1 Li 3.60, 2 Tl 3.61
Tm: 0.2523 0.5786 0.3370  5 Tl 3.19-3.23, 1 Li 3.25
Tl: 0.5000 0.1656 0.6688  6 Tm 3.19-3.22
Tm: 0.2523 0.9156 0.6630  5 Tl 3.19-3.23, 1 Li 3.25
Tm: 0.7477 0.4214 0.6630  5 Tl 3.19-3.23, 1 Li 3.25
Tl: 0.0000 0.3321 0.3357  6 Tm 3.22-3.23, 1 Li 3.60, 2 Tl 3.61
Li: 0.0000 0.0000 0.0000  6 Tm 3.24-3.25, 6 Tl 3.60-3.63
Tm: 0.2509 0.2536 0.0000  5 Tl 3.20-3.23, 1 Li 3.24
Tl: 0.5000 0.8344 0.3312  6 Tm 3.19-3.22
Tm: 0.7477 0.0844 0.3370  5 Tl 3.19-3.23, 1 Li 3.25
Tm: 0.7491 0.7464 0.0000  5 Tl 3.20-3.23, 1 Li 3.24
Tl: 0.5000 0.5000 0.0000  6 Tm 3.20-3.21

- Space group: No. 12

=====

Stability check: which of them is most stable? A.

=====

A | This record from Alexandria via LeMat-Bulk describes an optimized crystal structure of LiTm2Tl3. The functional is PBE.

Unit cell a=5.1994 b=5.1994 c=12.8292 alpha=90.00 beta=90.00 gamma=120.00
Last column: nearest neighbours and their distance in Å.
Fractional positions:
Li: 0.3333 0.6667 0.6598  8 Tl 3.09-3.20
Tm: 0.0000 0.0000 0.0000  8 Tl 3.22-3.27
Tm: 0.3333 0.6667 0.1741  8 Tl 3.14-3.39
Tl: 0.3333 0.6667 0.4191  4 Li 3.09-3.17, 4 Tm 3.14-3.18
Tl: 0.0000 0.0000 0.2551  5 Tm 3.14-3.27, 3 Li 3.19
Tl: 0.6667 0.3333 0.5809  4 Li 3.09-3.17, 4 Tm 3.14-3.18
Li: 0.6667 0.3333 0.3402  8 Tl 3.09-3.20
Tm: 0.0000 0.0000 0.5000  8 Tl 3.14-3.18
Tl: 0.3333 0.6667 0.9095  7 Tm 3.19-3.39, 1 Li 3.20
Tl: 0.6667 0.3333 0.0905  7 Tm 3.19-3.39, 1 Li 3.20
Tm: 0.6667 0.3333 0.8259  8 Tl 3.14-3.39
Tl: 0.0000 0.0000 0.7449  5 Tm 3.14-3.27, 3 Li 3.19

- Space group: No. 164

=====

B | This record from Alexandria via LeMat-Bulk describes an optimized crystal structure of LiTm2Tl3. The functional is PBE.

Unit cell a=3.4390 b=6.5671 c=14.1583 alpha=90.00 beta=96.98 gamma=90.00
Last column: nearest neighbours and their distance in Å.
Fractional positions:
Tl: 0.5810 0.5037 0.1619  1 Li 2.84
Tm: 0.0039 0.2500 0.0078  8 Tl 3.23-3.36, 4 Tm 3.29-3.44
Tm: 0.9961 0.7500 0.9922  8 Tl 3.23-3.36, 4 Tm 3.29-3.44
Li: 0.3372 0.7500 0.6743  4 Tl 2.84-2.86
Tl: 0.2443 0.2500 0.4886  2 Li 2.86
Tl: 0.5810 0.9963 0.1619  1 Li 2.84
Tl: 0.4190 0.4963 0.8381  1 Li 2.84
Tl: 0.4190 0.0037 0.8381  1 Li 2.84
Tm: 0.8412 0.2500 0.6825  6 Tl 3.22, 2 Tm 3.44
Tm: 0.1588 0.7500 0.3175  6 Tl 3.22, 2 Tm 3.44
Li: 0.6628 0.2500 0.3257  4 Tl 2.84-2.86
Tl: 0.7557 0.7500 0.5114  2 Li 2.86

- Space group: No. 63

=====

Stability check: which of them is most stable? A.